1.
10
Lattice="4.345 0.000 0.000 0.000 4.345 0.000 0.000 0.000 10.957" Properties=species:S:1:pos:R:3 comment="Sr2AlZn4Ge3 (PBE, relaxed)" formation_enthalpy_0k_mev_per_atom=-366 dos_ef_per_ev_atom=0.1568 space_group="P-4m2 (115)" dft_energy_ev_per_atom=-2.972 pbc="T T T"
Sr 0.000 2.173 2.685
Sr 2.173 0.000 8.272
Al 0.000 0.000 5.478
Zn 0.000 0.000 0.000
Zn 0.000 2.173 6.963
Zn 2.173 0.000 3.994
Zn 2.173 2.173 0.000
Ge 0.000 2.173 9.493
Ge 2.173 0.000 1.464
Ge 2.173 2.173 5.478

2.
12
Lattice="-3.120 5.473 3.718 3.120 -5.473 3.718 3.120 5.473 -3.718" Properties=species:S:1:pos:R:3 comment="Na3HS2 (PBE, relaxed)" dos_ef_per_ev_atom=0.0000 space_group="Ibam (72)" dft_energy_ev_per_atom=-3.315 pbc="T T T"
Na 3.120 -2.350 1.859
Na 0.000 0.000 1.859
Na 3.120 2.350 1.859
Na 0.000 3.123 1.859
Na 0.000 0.000 5.577
Na 0.000 7.822 1.859
H 3.120 0.000 0.000
H 0.000 5.473 0.000
S 4.487 1.070 0.000
S 1.367 4.403 0.000
S 1.753 1.070 3.718
S -1.367 4.403 3.718

3.
10
Lattice="8.215 0.000 0.000 0.000 8.215 0.000 0.000 0.000 4.032" Properties=species:S:1:pos:R:3 comment="NaLa2Se2 (PBE, relaxed)" dos_ef_per_ev_atom=0.3721 space_group="P4/mbm (127)" raw_formation_energy_ev_per_atom=-1.4004 dft_energy_ev_per_atom=-5.029 pbc="T T T"
Na 0.000 0.000 0.000
Na 4.108 4.108 0.000
La 1.278 2.830 2.016
La 2.830 6.938 2.016
La 5.385 1.278 2.016
La 6.938 5.385 2.016
Se 1.201 5.309 0.000
Se 2.907 1.201 0.000
Se 5.309 7.014 0.000
Se 7.014 2.907 0.000

4.
6
Lattice="3.512 0.000 0.000 0.000 3.512 0.000 0.000 0.000 14.756" Properties=species:S:1:pos:R:3 comment="Tl3Hg2Bi (PBE, relaxed)" formation_enthalpy_0k_mev_per_atom=-23 dos_ef_per_ev_atom=0.4671 space_group="P4/mmm (123)" dft_energy_ev_per_atom=-1.954 pbc="T T T"
Tl 0.000 0.000 0.000
Tl 0.000 0.000 4.853
Tl 0.000 0.000 9.903
Hg 1.756 1.756 2.384
Hg 1.756 1.756 12.372
Bi 1.756 1.756 7.378

5.
5
Lattice="4.872 0.000 0.000 0.000 4.872 0.000 0.000 0.000 5.230" Properties=species:S:1:pos:R:3 comment="AsWSe2I (PBE, relaxed)" dos_ef_per_ev_atom=0.7478 space_group="P4/mmm (123)" raw_formation_energy_ev_per_atom=0.3048 dft_energy_ev_per_atom=-4.920 pbc="T T T"
As 0.000 0.000 0.000
W 0.000 0.000 2.615
Se 0.000 2.436 2.615
Se 2.436 0.000 2.615
I 2.436 2.436 0.000

6.
5
Lattice="4.551 0.000 0.000 0.000 4.551 0.000 0.000 0.000 4.551" Properties=species:S:1:pos:R:3 comment="CsLiRe3 (PBE, relaxed)" formation_enthalpy_0k_mev_per_atom=2681 dos_ef_per_ev_atom=1.4825 space_group="Pm-3m (221)" dft_energy_ev_per_atom=-5.342 pbc="T T T"
Cs 0.000 0.000 0.000
Li 2.275 2.275 2.275
Re 0.000 2.275 2.275
Re 2.275 0.000 2.275
Re 2.275 2.275 0.000

7.
5
Lattice="4.128 0.000 0.000 0.000 4.128 0.000 0.000 0.000 4.128" Properties=species:S:1:pos:R:3 comment="CrCo3Mo (PBE, relaxed)" formation_enthalpy_0k_mev_per_atom=1236 dos_ef_per_ev_atom=1.5173 space_group="Pm-3m (221)" dft_energy_ev_per_atom=-7.118 pbc="T T T"
Cr 0.000 0.000 0.000
Co 0.000 0.000 2.064
Co 0.000 2.064 0.000
Co 2.064 0.000 0.000
Mo 2.064 2.064 2.064

8.
8
Lattice="4.235 0.000 0.000 0.000 4.235 0.000 0.000 0.000 11.873" Properties=species:S:1:pos:R:3 comment="Pr3ScAs4 (PBE, relaxed)" formation_enthalpy_0k_mev_per_atom=-1402 dos_ef_per_ev_atom=0.1010 space_group="P4/mmm (123)" dft_energy_ev_per_atom=-6.311 pbc="T T T"
Pr 0.000 0.000 0.000
Pr 2.118 2.118 3.031
Pr 2.118 2.118 8.842
Sc 0.000 0.000 5.936
As 0.000 0.000 3.116
As 0.000 0.000 8.757
As 2.118 2.118 0.000
As 2.118 2.118 5.936